Entry 1:
The following is a PBE calculation of crystalline Ho3AgHg5 at its relaxed geometry, from the Alexandria database.

Unit cell a=6.2158 b=8.9197 c=8.9180 alpha=120.01 beta=90.00 gamma=90.00
Closest atoms and distances in Å follow each position.
Fractional coordinates of all 18 atoms:
Ho 0.7500 0.6505 0.0000  9 Hg 2.96-3.29
Hg 0.2500 0.6884 0.0000  5 Ho 2.96-3.13, 2 Ag 3.18
Hg 0.0000 0.6667 0.3334  8 Hg 3.11-3.44, 6 Ho 3.29
Ho 0.7500 0.3494 0.3495  9 Hg 2.96-3.29
Hg 0.2500 0.0000 0.6884  5 Ho 2.96-3.13, 2 Ag 3.18
Ho 0.2500 0.6506 0.6505  9 Hg 2.96-3.29
Hg 0.7500 0.6883 0.6884  5 Ho 2.96-3.13, 2 Ag 3.18
Ag 0.0000 0.0000 0.0000  2 Ag 3.11, 6 Hg 3.18
Hg 0.5000 0.3333 0.6666  8 Hg 3.11-3.44, 6 Ho 3.29
Hg 0.0000 0.3333 0.6666  8 Hg 3.11-3.44, 6 Ho 3.29
Hg 0.2500 0.3117 0.3116  5 Ho 2.96-3.13, 2 Ag 3.18
Ag 0.5000 0.0000 0.0000  2 Ag 3.11, 6 Hg 3.18
Hg 0.5000 0.6667 0.3334  8 Hg 3.11-3.44, 6 Ho 3.29
Hg 0.7500 0.0000 0.3116  5 Ho 2.96-3.13, 2 Ag 3.18
Hg 0.7500 0.3116 0.0000  5 Ho 2.96-3.13, 2 Ag 3.18
Ho 0.7500 0.0000 0.6505  9 Hg 2.96-3.29
Ho 0.2500 0.3495 0.0000  9 Hg 2.96-3.29
Ho 0.2500 0.0000 0.3495  9 Hg 2.96-3.29

Energy of formation = -8.571 kcal/mol of atoms
Total moment = 0.00 μB/atom

---

Entry 2:
The following is a PBE calculation of crystalline BaGe2Pd at its relaxed geometry, from the Alexandria database.

Unit cell a=4.2961 b=6.5037 c=7.0582 alpha=90.00 beta=90.00 gamma=90.10
Closest atoms and distances in Å follow each position.
Fractional coordinates of all 8 atoms:
Ge 0.7495 0.3520 0.4522  3 Pd 2.60-2.61, 1 Ge 2.85
Ge 0.7495 0.3520 0.0478  3 Pd 2.60-2.61, 1 Ge 2.85
Ge 0.2505 0.6480 0.9522  3 Pd 2.60-2.61, 1 Ge 2.85
Ba 0.7510 0.8738 0.2500  8 Ge 3.34-3.68, 2 Pd 3.69
Pd 0.2497 0.4126 0.2500  6 Ge 2.60-2.61
Pd 0.7503 0.5874 0.7500  6 Ge 2.60-2.61
Ba 0.2490 0.1262 0.7500  8 Ge 3.34-3.68, 2 Pd 3.69
Ge 0.2505 0.6480 0.5478  3 Pd 2.60-2.61, 1 Ge 2.85

Energy of formation = -14.482 kcal/mol of atoms
Total moment = 0.00 μB/atom

---

Entry 3:
The following is a PBE calculation of crystalline Rb2ErPbO4 at its relaxed geometry, from the Alexandria database.

Unit cell a=6.2898 b=6.2929 c=6.4319 alpha=119.36 beta=119.35 gamma=89.87
Closest atoms and distances in Å follow each position.
Fractional coordinates of all 8 atoms:
O 0.3484 0.7642 0.2157  1 Er 2.13, 1 Pb 2.24
Rb 0.2364 0.2364 0.4727  4 O 2.89
Pb 0.7360 0.7360 0.4721  4 O 2.24-2.25
O 0.7067 0.6035 0.7266  1 Er 2.13, 1 Pb 2.25
O 0.0199 0.1230 0.7266  1 Er 2.13, 1 Pb 2.25
Er 0.9859 0.4859 0.9717  4 O 2.13
Rb 0.4865 0.9865 0.9730  4 O 2.94
O 0.8674 0.4516 0.2157  1 Er 2.13, 1 Pb 2.24

Energy relative to the elements, uncorrected = -14.7 eV per formula unit
Total moment = 0.10 μB/atom

---

Entry 4:
The following is a PBE calculation of crystalline Pr5Ga2Te at its relaxed geometry, from the Alexandria database.

Unit cell a=8.2224 b=8.2224 c=9.1159 alpha=116.81 beta=116.81 gamma=90.00
Closest atoms and distances in Å follow each position.
Fractional coordinates of all 16 atoms:
Ga 0.3714 0.8714 0.0000  1 Ga 2.99, 8 Pr 3.15-3.23
Pr 0.9825 0.4825 0.2900  3 Ga 3.15-3.17, 2 Te 3.41
Pr 0.1925 0.0175 0.7100  3 Ga 3.15-3.17, 2 Te 3.41
Ga 0.8714 0.6286 0.0000  1 Ga 2.99, 8 Pr 3.15-3.23
Pr 0.5175 0.6925 0.7100  3 Ga 3.15-3.17, 2 Te 3.41
Pr 0.4825 0.3075 0.2900  3 Ga 3.15-3.17, 2 Te 3.41
Te 0.7500 0.7500 0.5000  10 Pr 3.41-3.51
Pr 0.0000 0.0000 0.0000  4 Ga 3.23, 2 Te 3.51
Ga 0.6286 0.1286 0.0000  1 Ga 2.99, 8 Pr 3.15-3.23
Pr 0.5000 0.5000 0.0000  4 Ga 3.23, 2 Te 3.51
Pr 0.0175 0.5175 0.7100  3 Ga 3.15-3.17, 2 Te 3.41
Pr 0.8075 0.9825 0.2900  3 Ga 3.15-3.17, 2 Te 3.41
Ga 0.1286 0.3714 0.0000  1 Ga 2.99, 8 Pr 3.15-3.23
Pr 0.3075 0.8075 0.2900  3 Ga 3.15-3.17, 2 Te 3.41
Pr 0.6925 0.1925 0.7100  3 Ga 3.15-3.17, 2 Te 3.41
Te 0.2500 0.2500 0.5000  10 Pr 3.41-3.51

Energy relative to the elements, uncorrected = -5.2 eV per formula unit
Total moment = 0.25 μB/atom

---

Entry 5:
The following is a PBE calculation of crystalline La4Zn3Au at its relaxed geometry, from the Alexandria database.

Unit cell a=3.7888 b=3.7888 c=14.9122 alpha=90.00 beta=90.00 gamma=90.00
Closest atoms and distances in Å follow each position.
Fractional coordinates of all 8 atoms:
La 0.0000 0.0000 0.6265  8 Zn 3.22-3.28
Au 0.5000 0.5000 0.0000  8 La 3.27
Zn 0.5000 0.5000 0.2541  8 La 3.22-3.29
Zn 0.5000 0.5000 0.5000  8 La 3.28, 2 Zn 3.67
La 0.0000 0.0000 0.1263  4 Au 3.27, 4 Zn 3.29
Zn 0.5000 0.5000 0.7459  8 La 3.22-3.29
La 0.0000 0.0000 0.3735  8 Zn 3.22-3.28
La 0.0000 0.0000 0.8737  4 Au 3.27, 4 Zn 3.29

Energy of formation = -9.931 kcal/mol of atoms
Total moment = 0.00 μB/atom

---

Entry 6:
The following is a PBE calculation of crystalline RbLiTl2Cu at its relaxed geometry, from the Alexandria database.

Unit cell a=5.3286 b=5.3286 c=5.3749 alpha=90.00 beta=90.00 gamma=90.00
Closest atoms and distances in Å follow each position.
Fractional coordinates of all 5 atoms:
Cu 0.0000 0.0000 0.0000  4 Tl 2.66, 2 Li 2.69
Tl 0.5000 0.0000 0.0000  2 Cu 2.66
Rb 0.5000 0.5000 0.5000  4 Li 3.77, 8 Tl 3.78
Li 0.0000 0.0000 0.5000  2 Cu 2.69
Tl 0.0000 0.5000 0.0000  2 Cu 2.66

Energy of formation = 1.798 kcal/mol of atoms
Total moment = 0.00 μB/atom

---

Entry 7:
The following is a PBE calculation of crystalline CeAlOs at its relaxed geometry, from the Alexandria database.

Unit cell a=3.7386 b=4.3719 c=4.3719 alpha=120.00 beta=90.00 gamma=90.00
Closest atoms and distances in Å follow each position.
Fractional coordinates of all 3 atoms:
Al 0.5000 0.6667 0.3333  3 Os 2.52
Ce 0.0000 0.0000 0.0000  6 Al 3.14, 6 Os 3.14
Os 0.5000 0.3333 0.6667  3 Al 2.52

Energy of formation = -5.874 kcal/mol of atoms
Total moment = 0.00 μB/atom

---

Entry 8:
The following is a PBE calculation of crystalline CoSiCl3 at its relaxed geometry, from the Alexandria database.

Unit cell a=4.6705 b=4.6705 c=4.6705 alpha=90.00 beta=90.00 gamma=90.00
Closest atoms and distances in Å follow each position.
Fractional coordinates of all 5 atoms:
Si 0.5000 0.5000 0.5000  12 Cl 3.30
Co 0.0000 0.0000 0.0000  6 Cl 2.34
Cl 0.5000 0.0000 0.0000  2 Co 2.34
Cl 0.0000 0.5000 0.0000  2 Co 2.34
Cl 0.0000 0.0000 0.5000  2 Co 2.34

Energy relative to the elements, uncorrected = 0.6 eV per formula unit
Total moment = 0.28 μB/atom

---

Entry 9:
The following is a PBE calculation of crystalline Dy2Er4Tm at its relaxed geometry, from the Alexandria database.

Unit cell a=5.9902 b=6.5121 c=11.4100 alpha=90.00 beta=104.50 gamma=90.00
Closest atoms and distances in Å follow each position.
Fractional coordinates of all 14 atoms:
Dy 0.2835 0.2500 0.4264  9 Er 3.30-3.55
Er 0.6533 0.9956 0.2892  5 Er 3.20-3.46, 1 Tm 3.40, 2 Dy 3.44-3.55
Er 0.3467 0.0044 0.7108  5 Er 3.20-3.46, 1 Tm 3.40, 2 Dy 3.44-3.55
Tm 0.1518 0.7500 0.1580  6 Er 3.25-3.41, 2 Dy 3.36-3.63
Er 0.0223 0.7500 0.8576  3 Dy 3.29-3.43, 2 Er 3.31, 3 Tm 3.32-3.41
Dy 0.3987 0.2500 0.0047  6 Er 3.29-3.66, 2 Tm 3.36-3.63, 2 Dy 3.49
Er 0.6533 0.5044 0.2892  5 Er 3.20-3.46, 1 Tm 3.40, 2 Dy 3.44-3.55
Er 0.8470 0.2500 0.5574  1 Tm 3.25, 4 Dy 3.32-3.36, 4 Er 3.42-3.46
Er 0.9777 0.2500 0.1424  3 Dy 3.29-3.43, 2 Er 3.31, 3 Tm 3.32-3.41
Dy 0.6013 0.7500 0.9953  6 Er 3.29-3.66, 2 Tm 3.36-3.63, 2 Dy 3.49
Dy 0.7165 0.7500 0.5736  9 Er 3.30-3.55
Er 0.1530 0.7500 0.4426  1 Tm 3.25, 4 Dy 3.32-3.36, 4 Er 3.42-3.46
Er 0.3467 0.4956 0.7108  5 Er 3.20-3.46, 1 Tm 3.40, 2 Dy 3.44-3.55
Tm 0.8482 0.2500 0.8420  6 Er 3.25-3.41, 2 Dy 3.36-3.63

Energy of formation = 3.322 kcal/mol of atoms
Total moment = 0.00 μB/atom

---

Entry 10:
The following is a PBE calculation of crystalline CsMgBe2F at its relaxed geometry, from the Alexandria database.

Unit cell a=4.6712 b=8.9069 c=4.6712 alpha=90.00 beta=90.00 gamma=90.00
Closest atoms and distances in Å follow each position.
Fractional coordinates of all 5 atoms:
F 0.5000 0.5000 0.5000  4 Cs 3.30
Be 0.0000 0.0000 0.5000  2 Mg 2.34
Mg 0.0000 0.0000 0.0000  4 Be 2.34
Cs 0.0000 0.5000 0.0000  4 F 3.30
Be 0.5000 0.0000 0.0000  2 Mg 2.34

Energy relative to the elements, uncorrected = 1.5 eV per formula unit
Total moment = 0.00 μB/atom